[1]
Here is an optimized crystal structure of CoCuNiB from OQMD via LeMat-Bulk. Energies are from PBE-GGA.

Cell and atoms, written as CIF:
```
data_CoCuNiB
_chemical_formula_sum 'Co1 Cu1 Ni1 B1'
_symmetry_space_group_name_H-M 'P 1'
_symmetry_Int_Tables_number 1
_cell_length_a 3.788
_cell_length_b 3.788
_cell_length_c 3.788
_cell_angle_alpha 60.00
_cell_angle_beta 60.00
_cell_angle_gamma 60.00
loop_
_symmetry_equiv_pos_as_xyz
'x,y,z'
loop_
_atom_site_label
_atom_site_type_symbol
_atom_site_fract_x
_atom_site_fract_y
_atom_site_fract_z
_atom_site_occupancy
Co1 Co 0.000 0.000 0.000 1
Cu1 Cu 0.250 0.250 0.250 1
Ni1 Ni 0.500 0.500 0.500 1
B1 B 0.750 0.750 0.750 1
```

Summary:
The symmetry is No. 216. The value obtained for the polymorph energy (0 for the lowest one) is 0.0000 eV per atom.

***

[2]
Here is an optimized crystal structure of Sc5Ir3 from OQMD via LeMat-Bulk. Energies are from PBE-GGA.

Cell and atoms, written as CIF:
```
data_Sc5Ir3
_chemical_formula_sum 'Sc10 Ir6'
_symmetry_space_group_name_H-M 'P 1'
_symmetry_Int_Tables_number 1
_cell_length_a 7.875
_cell_length_b 7.875
_cell_length_c 5.645
_cell_angle_alpha 90.00
_cell_angle_beta 90.00
_cell_angle_gamma 120.00
loop_
_symmetry_equiv_pos_as_xyz
'x,y,z'
loop_
_atom_site_label
_atom_site_type_symbol
_atom_site_fract_x
_atom_site_fract_y
_atom_site_fract_z
_atom_site_occupancy
Sc1 Sc 0.000 0.257 0.250 1
Sc2 Sc 0.000 0.743 0.750 1
Sc3 Sc 0.257 0.000 0.250 1
Sc4 Sc 0.257 0.257 0.750 1
Sc5 Sc 0.333 0.667 0.000 1
Sc6 Sc 0.333 0.667 0.500 1
Sc7 Sc 0.667 0.333 0.000 1
Sc8 Sc 0.667 0.333 0.500 1
Sc9 Sc 0.743 0.000 0.750 1
Sc10 Sc 0.743 0.743 0.250 1
Ir1 Ir 0.000 0.391 0.750 1
Ir2 Ir 0.000 0.609 0.250 1
Ir3 Ir 0.391 0.000 0.750 1
Ir4 Ir 0.391 0.391 0.250 1
Ir5 Ir 0.609 0.000 0.250 1
Ir6 Ir 0.609 0.609 0.750 1
```

Summary:
Its calculated formation energy is -0.82 eV/atom. The symmetry is No. 193.

***

[3]
Here is an optimized crystal structure of BeNiMoAs from OQMD via LeMat-Bulk. Energies are from PBE-GGA.

Cell and atoms, written as CIF:
```
data_BeNiMoAs
_chemical_formula_sum 'Be1 Ni1 Mo1 As1'
_symmetry_space_group_name_H-M 'P 1'
_symmetry_Int_Tables_number 1
_cell_length_a 4.190
_cell_length_b 4.190
_cell_length_c 4.190
_cell_angle_alpha 60.00
_cell_angle_beta 60.00
_cell_angle_gamma 60.00
loop_
_symmetry_equiv_pos_as_xyz
'x,y,z'
loop_
_atom_site_label
_atom_site_type_symbol
_atom_site_fract_x
_atom_site_fract_y
_atom_site_fract_z
_atom_site_occupancy
Be1 Be 0.000 0.000 0.000 1
Ni1 Ni 0.500 0.500 0.500 1
Mo1 Mo 0.750 0.750 0.750 1
As1 As 0.250 0.250 0.250 1
```

Summary:
The symmetry is No. 216. The value obtained for the polymorph energy (0 for the lowest one) is 0.4243 eV per atom.

***

[4]
Here is an optimized crystal structure of CsCuReIr from OQMD via LeMat-Bulk. Energies are from PBE-GGA.

Cell and atoms, written as CIF:
```
data_CsCuReIr
_chemical_formula_sum 'Cs1 Cu1 Re1 Ir1'
_symmetry_space_group_name_H-M 'P 1'
_symmetry_Int_Tables_number 1
_cell_length_a 4.674
_cell_length_b 4.674
_cell_length_c 4.674
_cell_angle_alpha 60.00
_cell_angle_beta 60.00
_cell_angle_gamma 60.00
loop_
_symmetry_equiv_pos_as_xyz
'x,y,z'
loop_
_atom_site_label
_atom_site_type_symbol
_atom_site_fract_x
_atom_site_fract_y
_atom_site_fract_z
_atom_site_occupancy
Cs1 Cs 0.000 0.000 0.000 1
Cu1 Cu 0.750 0.750 0.750 1
Re1 Re 0.250 0.250 0.250 1
Ir1 Ir 0.500 0.500 0.500 1
```

Summary:
The symmetry is No. 216. The value obtained for the polymorph energy (0 for the lowest one) is 0.0000 eV per atom.

***

[5]
Here is an optimized crystal structure of CuAg3 from OQMD via LeMat-Bulk. Energies are from PBE-GGA.

Cell and atoms, written as CIF:
```
data_CuAg3
_chemical_formula_sum 'Cu2 Ag6'
_symmetry_space_group_name_H-M 'P 1'
_symmetry_Int_Tables_number 1
_cell_length_a 9.437
_cell_length_b 9.437
_cell_length_c 4.958
_cell_angle_alpha 94.10
_cell_angle_beta 94.10
_cell_angle_gamma 17.40
loop_
_symmetry_equiv_pos_as_xyz
'x,y,z'
loop_
_atom_site_label
_atom_site_type_symbol
_atom_site_fract_x
_atom_site_fract_y
_atom_site_fract_z
_atom_site_occupancy
Cu1 Cu 0.194 0.194 0.061 1
Cu2 Cu 0.806 0.806 0.939 1
Ag1 Ag 0.061 0.061 0.692 1
Ag2 Ag 0.311 0.311 0.422 1
Ag3 Ag 0.429 0.429 0.815 1
Ag4 Ag 0.571 0.571 0.185 1
Ag5 Ag 0.689 0.689 0.578 1
Ag6 Ag 0.939 0.939 0.308 1
```

Summary:
Its calculated formation energy is 0.07 eV/atom. The symmetry is No. 12.

***

[6]
Here is an optimized crystal structure of ThNF from OQMD via LeMat-Bulk. Energies are from PBE-GGA.

Cell and atoms, written as CIF:
```
data_ThNF
_chemical_formula_sum 'Th2 N2 F2'
_symmetry_space_group_name_H-M 'P 1'
_symmetry_Int_Tables_number 1
_cell_length_a 4.025
_cell_length_b 4.025
_cell_length_c 5.830
_cell_angle_alpha 90.00
_cell_angle_beta 90.00
_cell_angle_gamma 90.00
loop_
_symmetry_equiv_pos_as_xyz
'x,y,z'
loop_
_atom_site_label
_atom_site_type_symbol
_atom_site_fract_x
_atom_site_fract_y
_atom_site_fract_z
_atom_site_occupancy
Th1 Th 0.250 0.250 0.203 1
Th2 Th 0.750 0.750 0.797 1
N1 N 0.250 0.750 0.000 1
N2 N 0.750 0.250 0.000 1
F1 F 0.250 0.750 0.500 1
F2 F 0.750 0.250 0.500 1
```

Summary:
As for the total DFT energy (no corrections): -26.17 eV/f.u. The symmetry is No. 129.